1.
# Pu3PaAs4

Pu3PaAs4 after structural relaxation (GGA-PBE, the Open Quantum Materials Database).

Values from the calculation:
Volume (Å³/atom): 24.995
DFT total energy (eV/cell): -79.5

Cell lengths 7.155, 7.155, 4.146 Å; angles 90.00, 90.00, 109.58 degrees
Element x y z (fractional)
1 Pu 0.000 0.000 0.000
2 Pu 0.000 0.500 0.500
3 Pu 0.500 0.000 0.500
4 Pa 0.500 0.500 0.000
5 As 0.252 0.748 0.000
6 As 0.254 0.254 0.500
7 As 0.746 0.746 0.500
8 As 0.748 0.252 0.000

***

2.
# RbPaAs

RbPaAs after structural relaxation (GGA-PBE, the Open Quantum Materials Database).

Values from the calculation:
Volume (Å³/atom): 32.163
DFT total energy (eV/cell): -13.6

Cell lengths 5.148, 5.148, 5.148 Å; angles 60.00, 60.00, 60.00 degrees
Element x y z (fractional)
1 Rb 0.000 0.000 0.000
2 Pa 0.500 0.500 0.500
3 As 0.750 0.750 0.750

***

- Among the records above, which one has the lowest volume?
  Pu3PaAs4